## Ho8Co2Ru (GGA-PBE)

Data for an optimized crystal structure of Ho8Co2Ru.

## Properties
Excess energy over the best structure of this formula in the dataset in meV per atom: 56.1
Formation energy in eV per atom: -0.119
Fermi-level density of states in states/eV/f.u.: 9.6
Total moment in μB per formula unit: 0.0

Cell: 8.066 12.393 5.784 Å, 90.00 108.64 90.00°
Space group Cm (No. 8)
Inequivalent atoms, fractional coordinates:
1 Ho 0.000 0.000 0.000 (multiplicity 2)
2 Ho 0.068 0.370 0.786 (multiplicity 4)
3 Ho 0.155 0.129 0.596 (multiplicity 4)
4 Ho 0.222 0.500 0.370 (multiplicity 2)
5 Ho 0.364 0.215 0.188 (multiplicity 4)
6 Co 0.359 0.307 0.683 (multiplicity 4)
7 Ru 0.361 0.000 0.097 (multiplicity 2)

=====

## Ho6Co2Ru (GGA-PBE)

Data for an optimized crystal structure of Ho6Co2Ru.

## Properties
Excess energy over the best structure of this formula in the dataset in meV per atom: 0.0
Formation energy in eV per atom: -0.237
Fermi-level density of states in states/eV/f.u.: 8.2
Total moment in μB per formula unit: 0.0

Cell: 9.295 9.309 9.504 Å, 90.00 90.00 90.00°
Space group Immm (No. 71)
Inequivalent atoms, fractional coordinates:
1 Ho 0.000 0.186 0.172 (multiplicity 8)
2 Ho 0.176 0.241 0.500 (multiplicity 8)
3 Ho 0.186 0.500 0.238 (multiplicity 8)
4 Co 0.000 0.000 0.386 (multiplicity 4)
5 Co 0.164 0.000 0.000 (multiplicity 4)
6 Ru 0.000 0.500 0.000 (multiplicity 2)
7 Ru 0.000 0.500 0.500 (multiplicity 2)

=====

## Ho8Co2Ru (GGA-PBE)

Data for an optimized crystal structure of Ho8Co2Ru.

## Properties
Excess energy over the best structure of this formula in the dataset in meV per atom: 0.0
Formation energy in eV per atom: -0.175
Fermi-level density of states in states/eV/f.u.: 11.2
Total moment in μB per formula unit: 0.0

Cell: 16.948 4.904 6.643 Å, 90.00 107.14 90.00°
Space group C2/m (No. 12)
Inequivalent atoms, fractional coordinates:
1 Ho 0.036 0.000 0.294 (multiplicity 4)
2 Ho 0.095 0.500 0.952 (multiplicity 4)
3 Ho 0.172 0.500 0.473 (multiplicity 4)
4 Ho 0.201 0.000 0.821 (multiplicity 4)
5 Co 0.188 0.000 0.203 (multiplicity 4)
6 Ru 0.000 0.500 0.500 (multiplicity 2)

=====

- Which of these has the highest Fermi-level density of states?
  number 3

=====

- formation energy of number 2 (Ho6Co2Ru)?
  -0.237 eV per atom